Material: PrLuPt2
Method: DFT, PBE-GGA
State: optimized geometry

POSCAR file:
```
PrLuPt2
1.0
5.642 0.000 0.000
0.000 4.540 0.000
-0.311 0.000 7.110
Lu Pr Pt
2 2 4
direct
0.861 0.250 0.180 Lu
0.139 0.750 0.820 Lu
0.355 0.750 0.312 Pr
0.645 0.250 0.688 Pr
0.330 0.250 0.031 Pt
0.853 0.750 0.445 Pt
0.147 0.250 0.555 Pt
0.670 0.750 0.969 Pt
```

Summary:
energy of formation	-1.206	eV per atom
crystal system	monoclinic
space group	P2_1/m (11)
total magnetization	0.004	μB per cell